Record 1
The following is a PBE calculation of a geometry-optimized LaScMnPb2 structure, from the Alexandria database.

Summary:
Mass density (g/cm³): 6.43
Formation enthalpy at 0 K (eV/f.u.): 4.9
Magnetic moment (μB per formula unit): 2.90
N(E_F) (states/eV/f.u.): 6.76

CIF file:
```
data_LaScMnPb2
_chemical_formula_sum 'La1 Sc1 Mn1 Pb2'
_cell_length_a 6.025
_cell_length_b 6.025
_cell_length_c 4.646
_cell_angle_alpha 90.00
_cell_angle_beta 90.00
_cell_angle_gamma 90.00
_symmetry_space_group_name_H-M 'P 1'
_symmetry_Int_Tables_number 1
loop_
_symmetry_equiv_pos_as_xyz
'x,y,z'
loop_
_atom_site_label
_atom_site_fract_x
_atom_site_fract_y
_atom_site_fract_z
La1 0.000 0.000 0.000
Sc1 0.500 0.500 0.500
Mn1 0.000 0.000 0.500
Pb1 0.000 0.500 0.000
Pb2 0.500 0.000 0.000
```


Record 2
The following is a PBE calculation of a geometry-optimized LaMnPbSe2 structure, from the Alexandria database.

Summary:
Mass density (g/cm³): 5.14
Magnetic moment (μB per formula unit): 4.14
Formation energy (no corrections) (eV per formula unit): 0.64
N(E_F) (states/eV/f.u.): 3.35

CIF file:
```
data_LaMnPbSe2
_chemical_formula_sum 'La1 Mn1 Pb1 Se2'
_cell_length_a 5.677
_cell_length_b 5.677
_cell_length_c 5.600
_cell_angle_alpha 90.00
_cell_angle_beta 90.00
_cell_angle_gamma 90.00
_symmetry_space_group_name_H-M 'P 1'
_symmetry_Int_Tables_number 1
loop_
_symmetry_equiv_pos_as_xyz
'x,y,z'
loop_
_atom_site_label
_atom_site_fract_x
_atom_site_fract_y
_atom_site_fract_z
La1 0.000 0.000 0.000
Mn1 0.000 0.000 0.500
Pb1 0.500 0.500 0.500
Se1 0.000 0.500 0.000
Se2 0.500 0.000 0.000
```


Record 3
The following is a PBE calculation of a geometry-optimized La2YMnPb structure, from the Alexandria database.

Summary:
Mass density (g/cm³): 7.34
Formation enthalpy at 0 K (eV/f.u.): -0.7
Magnetic moment (μB per formula unit): 0.00
N(E_F) (states/eV/f.u.): 3.36

CIF file:
```
data_La2YMnPb
_chemical_formula_sum 'La2 Y1 Mn1 Pb1'
_cell_length_a 5.101
_cell_length_b 5.101
_cell_length_c 5.471
_cell_angle_alpha 90.00
_cell_angle_beta 90.00
_cell_angle_gamma 90.00
_symmetry_space_group_name_H-M 'P 1'
_symmetry_Int_Tables_number 1
loop_
_symmetry_equiv_pos_as_xyz
'x,y,z'
loop_
_atom_site_label
_atom_site_fract_x
_atom_site_fract_y
_atom_site_fract_z
La1 0.000 0.500 0.000
La2 0.500 0.000 0.000
Y1 0.000 0.000 0.500
Mn1 0.000 0.000 0.000
Pb1 0.500 0.500 0.500
```


Record 4
The following is a PBE calculation of a geometry-optimized LaMn2Pd structure, from the Alexandria database.

Summary:
Mass density (g/cm³): 9.15
Formation enthalpy at 0 K (eV/f.u.): 2.6
Magnetic moment (μB per formula unit): 0.00
N(E_F) (states/eV/f.u.): 10.02

CIF file:
```
data_LaMn2Pd
_chemical_formula_sum 'La1 Mn2 Pd1'
_cell_length_a 4.501
_cell_length_b 4.501
_cell_length_c 4.501
_cell_angle_alpha 60.00
_cell_angle_beta 60.00
_cell_angle_gamma 60.00
_symmetry_space_group_name_H-M 'P 1'
_symmetry_Int_Tables_number 1
loop_
_symmetry_equiv_pos_as_xyz
'x,y,z'
loop_
_atom_site_label
_atom_site_fract_x
_atom_site_fract_y
_atom_site_fract_z
La1 0.000 0.000 0.000
Mn1 0.250 0.250 0.250
Mn2 0.750 0.750 0.750
Pd1 0.500 0.500 0.500
```


Record 5
The following is a PBE calculation of a geometry-optimized LaMn2Pd structure, from the Alexandria database.

Summary:
Mass density (g/cm³): 6.74
Formation enthalpy at 0 K (eV/f.u.): 1.2
Magnetic moment (μB per formula unit): 4.37
N(E_F) (states/eV/f.u.): 3.81

CIF file:
```
data_LaMn2Pd
_chemical_formula_sum 'La2 Mn4 Pd2'
_cell_length_a 9.959
_cell_length_b 9.959
_cell_length_c 9.959
_cell_angle_alpha 155.09
_cell_angle_beta 155.09
_cell_angle_gamma 35.51
_symmetry_space_group_name_H-M 'P 1'
_symmetry_Int_Tables_number 1
loop_
_symmetry_equiv_pos_as_xyz
'x,y,z'
loop_
_atom_site_label
_atom_site_fract_x
_atom_site_fract_y
_atom_site_fract_z
La1 0.375 0.625 0.750
La2 0.625 0.375 0.250
Mn1 0.000 0.000 0.000
Mn2 0.000 0.000 0.500
Mn3 0.000 0.500 0.000
Mn4 0.500 0.000 0.500
Pd1 0.125 0.875 0.250
Pd2 0.875 0.125 0.750
```


Record 6
The following is a PBE calculation of a geometry-optimized LaMn2Pd2 structure, from the Alexandria database.

Summary:
Mass density (g/cm³): 9.06
Formation enthalpy at 0 K (eV/f.u.): 0.7
Magnetic moment (μB per formula unit): 0.00
N(E_F) (states/eV/f.u.): 8.31

CIF file:
```
data_LaMn2Pd2
_chemical_formula_sum 'La2 Mn4 Pd4'
_cell_length_a 7.674
_cell_length_b 7.674
_cell_length_c 2.873
_cell_angle_alpha 90.00
_cell_angle_beta 90.00
_cell_angle_gamma 90.00
_symmetry_space_group_name_H-M 'P 1'
_symmetry_Int_Tables_number 1
loop_
_symmetry_equiv_pos_as_xyz
'x,y,z'
loop_
_atom_site_label
_atom_site_fract_x
_atom_site_fract_y
_atom_site_fract_z
La1 0.000 0.000 0.000
La2 0.500 0.500 0.000
Mn1 0.089 0.411 0.000
Mn2 0.411 0.911 0.000
Mn3 0.589 0.089 0.000
Mn4 0.911 0.589 0.000
Pd1 0.195 0.695 0.500
Pd2 0.305 0.195 0.500
Pd3 0.695 0.805 0.500
Pd4 0.805 0.305 0.500
```


Record 7
The following is a PBE calculation of a geometry-optimized LaMnPd4 structure, from the Alexandria database.

Summary:
Mass density (g/cm³): 9.19
Formation enthalpy at 0 K (eV/f.u.): -2.7
Magnetic moment (μB per formula unit): 4.98
N(E_F) (states/eV/f.u.): 4.09

CIF file:
```
data_LaMnPd4
_chemical_formula_sum 'La1 Mn1 Pd4'
_cell_length_a 5.409
_cell_length_b 5.409
_cell_length_c 5.409
_cell_angle_alpha 60.00
_cell_angle_beta 60.00
_cell_angle_gamma 60.00
_symmetry_space_group_name_H-M 'P 1'
_symmetry_Int_Tables_number 1
loop_
_symmetry_equiv_pos_as_xyz
'x,y,z'
loop_
_atom_site_label
_atom_site_fract_x
_atom_site_fract_y
_atom_site_fract_z
La1 0.000 0.000 0.000
Mn1 0.750 0.750 0.750
Pd1 0.376 0.376 0.376
Pd2 0.376 0.376 0.873
Pd3 0.376 0.873 0.376
Pd4 0.873 0.376 0.376
```


Record 8
The following is a PBE calculation of a geometry-optimized La2MnPd structure, from the Alexandria database.

Summary:
Mass density (g/cm³): 7.02
Formation enthalpy at 0 K (eV/f.u.): 0.3
Magnetic moment (μB per formula unit): 2.75
N(E_F) (states/eV/f.u.): 5.92

CIF file:
```
data_La2MnPd
_chemical_formula_sum 'La4 Mn2 Pd2'
_cell_length_a 6.527
_cell_length_b 6.527
_cell_length_c 6.527
_cell_angle_alpha 104.11
_cell_angle_beta 104.11
_cell_angle_gamma 120.82
_symmetry_space_group_name_H-M 'P 1'
_symmetry_Int_Tables_number 1
loop_
_symmetry_equiv_pos_as_xyz
'x,y,z'
loop_
_atom_site_label
_atom_site_fract_x
_atom_site_fract_y
_atom_site_fract_z
La1 0.113 0.625 0.988
La2 0.375 0.363 0.488
La3 0.637 0.125 0.012
La4 0.875 0.887 0.512
Mn1 0.250 0.750 0.500
Mn2 0.500 0.500 0.000
Pd1 0.000 0.000 0.000
Pd2 0.750 0.250 0.500
```